# 1
Here is a geometry-optimized NbWO7 structure from Alexandria via LeMat-Bulk. Energies are from GGA+U.

## Properties
Its space group is Ima2, No. 46. The value obtained for the spin magnetization is 3.06 μB/f.u. The total energy comes out at -130.305 eV for the cell shown. The density is 4.3 g/cm3. The value obtained for the volume is 16.56 A^3/atom.

Unit cell a=7.496 b=7.496 c=7.496 alpha=118.99 beta=90.14 gamma=120.86
Positions (direct):
Nb  0.000  0.000  0.000
Nb  0.000  0.500  0.500
W  0.483  0.470  0.513
W  0.957  0.970  0.487
O  0.037  0.721  0.816
O  0.039  0.087  0.798
O  0.039  0.741  0.452
O  0.277  0.222  0.555
O  0.289  0.241  0.202
O  0.289  0.587  0.548
O  0.580  0.001  0.079
O  0.661  0.355  0.442
O  0.661  0.720  0.806
O  0.667  0.722  0.445
O  0.905  0.221  0.184
O  0.914  0.220  0.558
O  0.914  0.855  0.194
O  0.921  0.501  0.921



# 2
Here is a geometry-optimized Nb2Zn2WO8 structure from Alexandria via LeMat-Bulk. Energies are from GGA+U.

## Properties
Its space group is P-1, No. 2. The value obtained for the spin magnetization is 2.00 μB/f.u. The total energy comes out at -190.204 eV for the cell shown. The density is 6.6 g/cm3. The value obtained for the volume is 12.13 A^3/atom.

Unit cell a=5.390 b=5.901 c=10.238 alpha=104.20 beta=90.76 gamma=91.60
Positions (direct):
Nb  0.204  0.241  0.242
Nb  0.235  0.016  0.768
Nb  0.765  0.984  0.232
Nb  0.796  0.759  0.758
Zn  0.224  0.859  0.438
Zn  0.288  0.430  0.564
Zn  0.712  0.570  0.436
Zn  0.776  0.141  0.562
W  0.258  0.640  0.995
W  0.742  0.360  0.005
O  0.086  0.910  0.122
O  0.089  0.704  0.636
O  0.096  0.430  0.113
O  0.146  0.147  0.609
O  0.353  0.543  0.388
O  0.401  0.329  0.893
O  0.414  0.066  0.345
O  0.417  0.816  0.868
O  0.583  0.184  0.132
O  0.586  0.934  0.655
O  0.599  0.671  0.107
O  0.647  0.457  0.612
O  0.854  0.853  0.391
O  0.904  0.570  0.887
O  0.911  0.296  0.364
O  0.914  0.090  0.878